TaSnSe2N | GGA-PBEsol | optimized geometry

a = 3.8923 Å, b = 5.1562 Å, c = 5.1562 Å
α = 90.00°, β = 90.00°, γ = 90.00°
With the nearest neighbours (Å) after each atom.
Element x y z (fractional)
N  0.5000  0.0000  0.0000  2 Ta 1.95
Sn  0.5000  0.5000  0.5000  8 Se 3.23
Se  0.0000  0.0000  0.5000  2 Ta 2.58
Se  0.0000  0.5000  0.0000  2 Ta 2.58
Ta  0.0000  0.0000  0.0000  2 N 1.95

Values from the calculation:
space group = P4/mmm
E_tot = -6.88 eV per atom
formation energy without anion corrections = -0.27 eV per atom